# CrOsRu2 (GGA-PBE, optimized geometry)
data_CrOsRu2
_chemical_formula_sum 'Cr3 Os3 Ru6'
_symmetry_space_group_name_H-M 'R 3 m'
_symmetry_Int_Tables_number 160
_symmetry_space_group_name_Hall 'R 3 -2"'
_cell_length_a 2.6923
_cell_length_b 2.6923
_cell_length_c 26.0534
_cell_angle_alpha 90.00
_cell_angle_beta 90.00
_cell_angle_gamma 120.00
loop_
_atom_site_label
_atom_site_type_symbol
_atom_site_fract_x
_atom_site_fract_y
_atom_site_fract_z
_atom_site_occupancy
Cr1 Cr 0.0000 0.0000 0.0000 1
Os1 Os 0.0000 0.0000 0.7484 1
Ru1 Ru 0.0000 0.0000 0.2535 1
Ru2 Ru 0.0000 0.0000 0.5006 1
# Fermi-level density of states: 13.7 states/eV per cell
# energy: -0.713 Ry/atom
# total magnetization: 0.0 μB/cell
# ΔH_f (0 K): 0.144 eV/atom
# E above lowest polymorph: 61 meV per atom



# CrOsRu (GGA-PBE, optimized geometry)
data_CrOsRu
_chemical_formula_sum 'Cr1 Os1 Ru1'
_symmetry_space_group_name_H-M 'P 3 m 1'
_symmetry_Int_Tables_number 156
_symmetry_space_group_name_Hall 'P 3 -2"'
_cell_length_a 2.6884
_cell_length_b 2.6884
_cell_length_c 6.4685
_cell_angle_alpha 90.00
_cell_angle_beta 90.00
_cell_angle_gamma 120.00
loop_
_atom_site_label
_atom_site_type_symbol
_atom_site_fract_x
_atom_site_fract_y
_atom_site_fract_z
_atom_site_occupancy
Cr1 Cr 0.0000 0.0000 0.0000 1
Os1 Os 0.6667 0.3333 0.3224 1
Ru1 Ru 0.3333 0.6667 0.6814 1
# Fermi-level density of states: 3.7 states/eV per cell
# energy: -0.728 Ry/atom
# total magnetization: 0.0 μB/cell
# ΔH_f (0 K): 0.132 eV/atom
# E above lowest polymorph: 38 meV per atom



# CrOs3Ru (GGA-PBE, optimized geometry)
data_CrOs3Ru
_chemical_formula_sum 'Cr2 Os6 Ru2'
_symmetry_space_group_name_H-M 'P -1'
_symmetry_Int_Tables_number 2
_symmetry_space_group_name_Hall '-P 1'
_cell_length_a 3.799
_cell_length_b 4.670
_cell_length_c 8.530
_cell_angle_alpha 89.84
_cell_angle_beta 89.96
_cell_angle_gamma 66.07
loop_
_atom_site_label
_atom_site_type_symbol
_atom_site_fract_x
_atom_site_fract_y
_atom_site_fract_z
_atom_site_occupancy
Cr1 Cr 0.053 0.396 0.349 1
Os1 Os 0.150 0.200 0.052 1
Os2 Os 0.250 0.000 0.747 1
Os3 Os 0.352 0.796 0.454 1
Ru1 Ru 0.451 0.597 0.155 1
# Fermi-level density of states: 11.1 states/eV per cell
# energy: -0.765 Ry/atom
# total magnetization: 0.0 μB/cell
# ΔH_f (0 K): 0.112 eV/atom
# E above lowest polymorph: 0 meV per atom



# CrOsRu (GGA-PBE, optimized geometry)
data_CrOsRu
_chemical_formula_sum 'Cr4 Os4 Ru4'
_symmetry_space_group_name_H-M 'F -4 3 m'
_symmetry_Int_Tables_number 216
_symmetry_space_group_name_Hall 'F -4 2 3'
_cell_length_a 5.678
_cell_length_b 5.678
_cell_length_c 5.678
_cell_angle_alpha 90.00
_cell_angle_beta 90.00
_cell_angle_gamma 90.00
loop_
_atom_site_label
_atom_site_type_symbol
_atom_site_fract_x
_atom_site_fract_y
_atom_site_fract_z
_atom_site_occupancy
Cr1 Cr 0.000 0.000 0.000 1
Os1 Os 0.250 0.250 0.750 1
Ru1 Ru 0.250 0.250 0.250 1
# Fermi-level density of states: 19.9 states/eV per cell
# energy: -0.700 Ry/atom
# total magnetization: 0.0 μB/cell
# ΔH_f (0 K): 0.524 eV/atom
# E above lowest polymorph: 430 meV per atom



# CrOsRu2 (GGA-PBE, optimized geometry)
data_CrOsRu2
_chemical_formula_sum 'Cr1 Os1 Ru2'
_symmetry_space_group_name_H-M 'P 4/m m m'
_symmetry_Int_Tables_number 123
_symmetry_space_group_name_Hall '-P 4 2'
_cell_length_a 2.691
_cell_length_b 2.691
_cell_length_c 7.496
_cell_angle_alpha 90.00
_cell_angle_beta 90.00
_cell_angle_gamma 90.00
loop_
_atom_site_label
_atom_site_type_symbol
_atom_site_fract_x
_atom_site_fract_y
_atom_site_fract_z
_atom_site_occupancy
Cr1 Cr 0.000 0.000 0.000 1
Os1 Os 0.000 0.000 0.500 1
Ru1 Ru 0.500 0.500 0.242 1
# Fermi-level density of states: 4.3 states/eV per cell
# energy: -0.715 Ry/atom
# total magnetization: 0.0 μB/cell
# ΔH_f (0 K): 0.128 eV/atom
# E above lowest polymorph: 45 meV per atom



# CrOsRu2 (GGA-PBE, optimized geometry)
data_CrOsRu2
_chemical_formula_sum 'Cr2 Os2 Ru4'
_symmetry_space_group_name_H-M 'A m m 2'
_symmetry_Int_Tables_number 38
_symmetry_space_group_name_Hall 'A 2 -2'
_cell_length_a 4.122
_cell_length_b 2.707
_cell_length_c 9.836
_cell_angle_alpha 90.00
_cell_angle_beta 90.00
_cell_angle_gamma 90.00
loop_
_atom_site_label
_atom_site_type_symbol
_atom_site_fract_x
_atom_site_fract_y
_atom_site_fract_z
_atom_site_occupancy
Cr1 Cr 0.000 0.000 0.000 1
Os1 Os 0.500 0.000 0.129 1
Ru1 Ru 0.000 0.000 0.740 1
Ru2 Ru 0.500 0.000 0.395 1
# Fermi-level density of states: 8.8 states/eV per cell
# energy: -0.717 Ry/atom
# total magnetization: 0.0 μB/cell
# ΔH_f (0 K): 0.100 eV/atom
# E above lowest polymorph: 17 meV per atom



# CrOs3Ru (GGA-PBE, optimized geometry)
data_CrOs3Ru
_chemical_formula_sum 'Cr1 Os3 Ru1'
_symmetry_space_group_name_H-M 'P m -3 m'
_symmetry_Int_Tables_number 221
_symmetry_space_group_name_Hall '-P 4 2 3'
_cell_length_a 4.381
_cell_length_b 4.381
_cell_length_c 4.381
_cell_angle_alpha 90.00
_cell_angle_beta 90.00
_cell_angle_gamma 90.00
loop_
_atom_site_label
_atom_site_type_symbol
_atom_site_fract_x
_atom_site_fract_y
_atom_site_fract_z
_atom_site_occupancy
Cr1 Cr 0.000 0.000 0.000 1
Os1 Os 0.000 0.000 0.500 1
Ru1 Ru 0.500 0.500 0.500 1
# Fermi-level density of states: 8.2 states/eV per cell
# energy: -0.636 Ry/atom
# total magnetization: 0.1 μB/cell
# ΔH_f (0 K): 1.869 eV/atom
# E above lowest polymorph: 1757 meV per atom



# CrOsRu (GGA-PBE, optimized geometry)
data_CrOsRu
_chemical_formula_sum 'Cr2 Os2 Ru2'
_symmetry_space_group_name_H-M 'P 63/m m c'
_symmetry_Int_Tables_number 194
_symmetry_space_group_name_Hall '-P 6c 2c'
_cell_length_a 4.2001
_cell_length_b 4.2001
_cell_length_c 5.3067
_cell_angle_alpha 90.00
_cell_angle_beta 90.00
_cell_angle_gamma 120.00
loop_
_atom_site_label
_atom_site_type_symbol
_atom_site_fract_x
_atom_site_fract_y
_atom_site_fract_z
_atom_site_occupancy
Cr1 Cr 0.3333 0.6667 0.2500 1
Os1 Os 0.3333 0.6667 0.7500 1
Ru1 Ru 0.0000 0.0000 0.0000 1
# Fermi-level density of states: 5.7 states/eV per cell
# energy: -0.731 Ry/atom
# total magnetization: 0.0 μB/cell
# ΔH_f (0 K): 0.094 eV/atom
# E above lowest polymorph: 0 meV per atom



# CrOsRu3 (GGA-PBE, optimized geometry)
data_CrOsRu3
_chemical_formula_sum 'Cr2 Os2 Ru6'
_symmetry_space_group_name_H-M 'P 1 21/m 1'
_symmetry_Int_Tables_number 11
_symmetry_space_group_name_Hall '-P 2yb'
_cell_length_a 5.963
_cell_length_b 3.804
_cell_length_c 6.026
_cell_angle_alpha 90.00
_cell_angle_beta 90.25
_cell_angle_gamma 90.00
loop_
_atom_site_label
_atom_site_type_symbol
_atom_site_fract_x
_atom_site_fract_y
_atom_site_fract_z
_atom_site_occupancy
Cr1 Cr 0.054 0.250 0.346 1
Os1 Os 0.449 0.250 0.152 1
Ru1 Ru 0.150 0.750 0.055 1
Ru2 Ru 0.240 0.250 0.745 1
Ru3 Ru 0.341 0.750 0.455 1
# Fermi-level density of states: 12.6 states/eV per cell
# energy: -0.707 Ry/atom
# total magnetization: 0.0 μB/cell
# ΔH_f (0 K): 0.118 eV/atom
# E above lowest polymorph: 121 meV per atom



# Cr2Os5Ru4 (GGA-PBE, optimized geometry)
data_Cr2Os5Ru4
_chemical_formula_sum 'Cr4 Os10 Ru8'
_symmetry_space_group_name_H-M 'C 1 2/m 1'
_symmetry_Int_Tables_number 12
_symmetry_space_group_name_Hall '-C 2y'
_cell_length_a 13.779
_cell_length_b 3.799
_cell_length_c 6.035
_cell_angle_alpha 90.00
_cell_angle_beta 105.48
_cell_angle_gamma 90.00
loop_
_atom_site_label
_atom_site_type_symbol
_atom_site_fract_x
_atom_site_fract_y
_atom_site_fract_z
_atom_site_occupancy
Cr1 Cr 0.092 0.000 0.451 1
Os1 Os 0.000 0.000 0.000 1
Os2 Os 0.137 0.500 0.189 1
Os3 Os 0.226 0.500 0.634 1
Ru1 Ru 0.044 0.500 0.722 1
Ru2 Ru 0.180 0.000 0.905 1
# Fermi-level density of states: 26.2 states/eV per cell
# energy: -0.743 Ry/atom
# total magnetization: 2.9 μB/cell
# ΔH_f (0 K): 0.116 eV/atom



# CrOsRu6 (GGA-PBE, optimized geometry)
data_CrOsRu6
_chemical_formula_sum 'Cr1 Os1 Ru6'
_symmetry_space_group_name_H-M 'P 4/m m m'
_symmetry_Int_Tables_number 123
_symmetry_space_group_name_Hall '-P 4 2'
_cell_length_a 5.370
_cell_length_b 5.370
_cell_length_c 3.834
_cell_angle_alpha 90.00
_cell_angle_beta 90.00
_cell_angle_gamma 90.00
loop_
_atom_site_label
_atom_site_type_symbol
_atom_site_fract_x
_atom_site_fract_y
_atom_site_fract_z
_atom_site_occupancy
Cr1 Cr 0.000 0.000 0.000 1
Os1 Os 0.500 0.500 0.000 1
Ru1 Ru 0.000 0.500 0.000 1
Ru2 Ru 0.249 0.249 0.500 1
# Fermi-level density of states: 8.8 states/eV per cell
# energy: -0.696 Ry/atom
# total magnetization: 1.1 μB/cell
# ΔH_f (0 K): 0.090 eV/atom



# CrOsRu2 (GGA-PBE, optimized geometry)
data_CrOsRu2
_chemical_formula_sum 'Cr2 Os2 Ru4'
_symmetry_space_group_name_H-M 'I m m 2'
_symmetry_Int_Tables_number 44
_symmetry_space_group_name_Hall 'I 2 -2'
_cell_length_a 2.796
_cell_length_b 4.339
_cell_length_c 9.195
_cell_angle_alpha 90.00
_cell_angle_beta 90.00
_cell_angle_gamma 90.00
loop_
_atom_site_label
_atom_site_type_symbol
_atom_site_fract_x
_atom_site_fract_y
_atom_site_fract_z
_atom_site_occupancy
Cr1 Cr 0.000 0.000 0.000 1
Os1 Os 0.000 0.500 0.281 1
Ru1 Ru 0.000 0.000 0.508 1
Ru2 Ru 0.000 0.500 0.720 1
# Fermi-level density of states: 10.8 states/eV per cell
# energy: -0.702 Ry/atom
# total magnetization: 1.9 μB/cell
# ΔH_f (0 K): 0.299 eV/atom
# E above lowest polymorph: 217 meV per atom